# 1
Density functional theory data (PBE) for an optimized crystal structure of PuH6Pd3.

Geometry as POSCAR:
```
PuH6Pd3
1.0
7.4962 0.0000 0.0000
0.0000 3.0739 0.0000
-3.3939 0.0000 7.6894
Pu H Pd
2 12 6
Direct
0.1214 0.2500 0.0720
0.8786 0.7500 0.9280
0.0706 0.2500 0.4598
0.1175 0.7500 0.8408
0.2096 0.7500 0.3353
0.3081 0.2500 0.7230
0.3882 0.7500 0.0832
0.4981 0.7500 0.6248
0.5019 0.2500 0.3752
0.6118 0.2500 0.9168
0.6919 0.7500 0.2770
0.7904 0.2500 0.6647
0.8825 0.2500 0.1592
0.9294 0.7500 0.5402
0.0499 0.2500 0.6727
0.3286 0.2500 0.4819
0.4514 0.7500 0.8308
0.5486 0.2500 0.1692
0.6714 0.7500 0.5181
0.9501 0.7500 0.3273
```

- E above lowest polymorph: 0.195 eV/atom
- Space-group type: P2_1/m, No. 11

# 2
Density functional theory data (PBE) for an optimized crystal structure of LiFeHg2Br.

Geometry as POSCAR:
```
LiFeHg2Br
1.0
6.8019 0.0000 0.0000
0.0000 6.8019 0.0000
0.0000 0.0000 4.4990
Li Fe Hg Br
1 1 2 1
Direct
0.0000 0.0000 0.0000
0.5000 0.5000 0.0000
0.0000 0.5000 0.5000
0.5000 0.0000 0.5000
0.0000 0.0000 0.5000
```

- E_form (uncorrected): 0.484 eV/atom
- Space-group type: P4/mmm, No. 123

# 3
Density functional theory data (PBE) for an optimized crystal structure of Dy6TlRh2Se3.

Geometry as POSCAR:
```
Dy6TlRh2Se3
1.0
9.4659 -1.9991 0.0000
9.4659 1.9991 0.0000
-3.2636 0.0000 7.9498
Dy Tl Rh Se
6 1 2 3
Direct
0.0040 0.0040 0.2340
0.3192 0.3192 0.9540
0.3260 0.3260 0.4112
0.6740 0.6740 0.5888
0.6808 0.6808 0.0460
0.9960 0.9960 0.7660
0.5000 0.5000 0.5000
0.1532 0.1532 0.7951
0.8468 0.8468 0.2049
0.1662 0.1662 0.3187
0.5000 0.5000 0.0000
0.8338 0.8338 0.6813
```

- E_form (uncorrected): -1.161 eV/atom
- Space-group type: C2/m, No. 12

# 4
Density functional theory data (PBE) for an optimized crystal structure of CsAlBiAs2.

Geometry as POSCAR:
```
CsAlBiAs2
1.0
5.7929 0.0000 0.0000
0.0000 5.7929 0.0000
0.0000 0.0000 6.3649
Cs Al Bi As
1 1 1 2
Direct
0.0000 0.0000 0.0000
0.5000 0.5000 0.5000
0.0000 0.0000 0.5000
0.0000 0.5000 0.0000
0.5000 0.0000 0.0000
```

- Formation energy: 1.6436 eV per atom
- Space-group type: P4/mmm, No. 123

The calculation returns the following calculated total energy values, one per record and in order: -0.1839, -0.0752, -0.2115, -0.0702 Ha/atom.